1.
DFT (PBE) results for an optimized crystal structure of NaEuHoTl.

Lattice parameters (Å, degrees): 7.852 7.852 7.852 90.00 90.00 90.00
Space group F-43m (No. 216)
One atom of each set of equivalent atoms:
Na1 0.000 0.000 0.000
Eu1 0.250 0.250 0.250
Ho1 0.250 0.250 0.750
Tl1 0.000 0.000 0.500

Calculated values
The volume comes out at 30.3 Å³ per atom. The calculation puts the magnetic moment at 29.0 μB per cell. As for the formation energy: -0.0715 eV per atom.

***

2.
DFT (PBE) results for an optimized crystal structure of Ce2MgGe3Pt6.

Lattice parameters (Å, degrees): 4.092 4.092 15.751 90.00 90.00 90.00
Space group P4/mmm (No. 123)
One atom of each set of equivalent atoms:
Ce1 0.000 0.000 0.214
Mg1 0.000 0.000 0.500
Ge1 0.500 0.500 0.000
Ge2 0.500 0.500 0.306
Pt1 0.000 0.500 0.391
Pt2 0.500 0.500 0.150

Calculated values
The volume comes out at 22.0 Å³ per atom. The calculation puts the magnetic moment at 1.6 μB per cell. As for the formation energy: -0.6389 eV per atom.

***

3.
DFT (PBE) results for an optimized crystal structure of Dy5Cd2Ru2.

Lattice parameters (Å, degrees): 16.317 7.399 7.593 90.00 90.00 90.00
Space group Cmce (No. 64)
One atom of each set of equivalent atoms:
Dy1 0.000 0.000 0.000
Dy2 0.118 0.174 0.325
Cd1 0.220 0.000 0.000
Ru1 0.000 0.126 0.630

Calculated values
The volume comes out at 25.5 Å³ per atom. The calculation puts the magnetic moment at 0.0 μB per cell. As for the formation energy: -0.3281 eV per atom.

***

4.
DFT (PBE) results for an optimized crystal structure of RePtO3.

Lattice parameters (Å, degrees): 3.877 3.877 3.877 90.00 90.00 90.00
Space group Pm-3m (No. 221)
One atom of each set of equivalent atoms:
Re1 0.000 0.000 0.000
Pt1 0.500 0.500 0.500
O1 0.000 0.000 0.500

Calculated values
The volume comes out at 11.7 Å³ per atom. As for the uncorrected formation energy: -305 meV/atom. The calculation puts the magnetic moment at 0.0 μB per cell.

***

5.
DFT (PBE) results for an optimized crystal structure of Ba2SmCdO5.

Lattice parameters (Å, degrees): 3.694 15.160 11.422 90.00 90.00 90.00
Space group Cmc2_1 (No. 36)
One atom of each set of equivalent atoms:
Ba1 0.000 0.112 0.000
Ba2 0.000 0.131 0.596
Sm1 0.000 0.214 0.308
Cd1 0.000 0.483 0.780
O1 0.000 0.063 0.363
O2 0.000 0.282 0.944
O3 0.000 0.303 0.678
O4 0.000 0.365 0.308
O5 0.000 0.498 0.089

Calculated values
The volume comes out at 17.8 Å³ per atom. As for the uncorrected formation energy: -2227 meV/atom. The calculation puts the magnetic moment at 4.3 μB per cell.

***

6.
DFT (PBE) results for an optimized crystal structure of LiYPS2.

Lattice parameters (Å, degrees): 4.614 4.614 4.239 90.00 90.00 90.00
Space group P4/mmm (No. 123)
One atom of each set of equivalent atoms:
Li1 0.000 0.000 0.000
Y1 0.500 0.500 0.500
P1 0.000 0.000 0.500
S1 0.000 0.500 0.000

Calculated values
The volume comes out at 18.0 Å³ per atom. The energy above the most stable polymorph in this dataset is 0.0 meV per atom. As for the uncorrected formation energy: -479 meV/atom. The calculation puts the magnetic moment at 0.0 μB per cell.

***

7.
DFT (PBE) results for an optimized crystal structure of GeSN2F.

Lattice parameters (Å, degrees): 4.018 4.018 4.503 90.00 90.00 90.00
Space group P4/mmm (No. 123)
One atom of each set of equivalent atoms:
Ge1 0.000 0.000 0.000
S1 0.500 0.500 0.000
N1 0.000 0.500 0.500
F1 0.500 0.500 0.500

Calculated values
The volume comes out at 14.5 Å³ per atom. The energy above the most stable polymorph in this dataset is 1236.0 meV per atom. As for the uncorrected formation energy: 2059 meV/atom. The calculation puts the magnetic moment at 3.5 μB per cell.

***

8.
DFT (PBE) results for an optimized crystal structure of Li7Cd2Rh.

Lattice parameters (Å, degrees): 9.473 9.473 9.473 90.00 90.00 90.00
Space group Fm-3m (No. 225)
One atom of each set of equivalent atoms:
Li1 0.000 0.000 0.000
Li2 0.000 0.000 0.258
Cd1 0.250 0.250 0.250
Rh1 0.000 0.000 0.500

Calculated values
The volume comes out at 21.3 Å³ per atom. The energy above the most stable polymorph in this dataset is 306.1 meV per atom. The calculation puts the magnetic moment at 0.0 μB per cell. As for the formation energy: 0.2304 eV per atom.

***

9.
DFT (PBE) results for an optimized crystal structure of ErTm4Ag.

Lattice parameters (Å, degrees): 3.486 3.486 13.798 90.00 90.00 90.00
Space group P4/mmm (No. 123)
One atom of each set of equivalent atoms:
Er1 0.000 0.000 0.000
Tm1 0.000 0.000 0.362
Tm2 0.500 0.500 0.179
Ag1 0.500 0.500 0.500

Calculated values
The volume comes out at 27.9 Å³ per atom. The energy above the most stable polymorph in this dataset is 0.0 meV per atom. The calculation puts the magnetic moment at 0.0 μB per cell. As for the formation energy: -0.0786 eV per atom.

***

10.
DFT (PBE) results for an optimized crystal structure of Ba5P3BrO12.

Lattice parameters (Å, degrees): 10.5291 10.5291 7.7540 90.00 90.00 120.00
Space group P6_3/m (No. 176)
One atom of each set of equivalent atoms:
Ba1 0.0111 0.2656 0.2500
Ba2 0.3333 0.6667 0.0010
P1 0.0374 0.4078 0.7500
Br1 0.0000 0.0000 0.0000
O1 0.0879 0.3589 0.5864
O2 0.1201 0.5799 0.7500
O3 0.1321 0.6552 0.2500

Calculated values
The volume comes out at 17.7 Å³ per atom. As for the uncorrected formation energy: -2843 meV/atom. The calculation puts the magnetic moment at 0.0 μB per cell.

***

11.
DFT (PBE) results for an optimized crystal structure of Dy3MgRh8.

Lattice parameters (Å, degrees): 5.2937 5.2937 26.0255 90.00 90.00 120.00
Space group R3m (No. 160, hexagonal axes)
One atom of each set of equivalent atoms:
Dy1 0.0000 0.0000 0.0000
Dy2 0.0000 0.0000 0.1278
Dy3 0.0000 0.0000 0.6204
Mg1 0.0000 0.0000 0.4977
Rh1 0.0000 0.0000 0.3118
Rh2 0.0000 0.0000 0.8120
Rh3 0.0003 0.5002 0.0624
Rh4 0.0009 0.5004 0.5613

Calculated values
The volume comes out at 17.5 Å³ per atom. The calculation puts the magnetic moment at 0.0 μB per cell. As for the formation energy: -0.6483 eV per atom.

***

12.
DFT (PBE) results for an optimized crystal structure of Al3SeF.

Lattice parameters (Å, degrees): 4.669 4.669 4.669 90.00 90.00 90.00
Space group Pm-3m (No. 221)
One atom of each set of equivalent atoms:
Al1 0.000 0.000 0.500
Se1 0.500 0.500 0.500
F1 0.000 0.000 0.000

Calculated values
The volume comes out at 20.4 Å³ per atom. The energy above the most stable polymorph in this dataset is 0.0 meV per atom. As for the uncorrected formation energy: -189 meV/atom. The calculation puts the magnetic moment at 0.0 μB per cell.

***

So what do the calculations give for E_tot? Going down the list: -4.71; -5.94; -5.15; -6.98; -6.03; -4.89; -3.39; -2.03; -4.30; -6.99; -6.83; -3.51 eV per atom.